Entry 1:
Material: K2AgSe
Method: DFT, GGA-PBE
State: optimized geometry

Computed properties:
* relative energy among the computed polymorphs: 0.056 eV per atom
* theoretical density: 3.364 g/cm3
* ΔE_f (raw): -0.4547 eV/atom

Unit cell a=6.678 b=6.678 c=6.678 alpha=141.63 beta=134.33 gamma=61.13
Fractional coordinates of all 4 atoms:
Ag 0.312 0.812 0.500
K 0.012 0.012 0.000
K 0.727 0.227 0.500
Se 0.449 0.449 0.000

Entry 2:
Material: K2AgSe
Method: DFT, GGA-PBE
State: optimized geometry

Computed properties:
* relative energy among the computed polymorphs: 0.362 eV per atom
* theoretical density: 2.935 g/cm3
* ΔE_f (raw): -0.1483 eV/atom

Unit cell a=5.387 b=5.387 c=11.011 alpha=75.84 beta=75.84 gamma=90.00
Fractional coordinates of all 8 atoms:
K 0.605 0.125 0.250
K 0.145 0.625 0.250
K 0.375 0.395 0.750
K 0.875 0.855 0.750
Se 0.500 0.500 0.000
Se 0.250 0.750 0.500
Ag 0.000 0.000 0.000
Ag 0.750 0.250 0.500

Entry 3:
Material: KAgSe3
Method: DFT, GGA-PBE
State: optimized geometry

Computed properties:
* relative energy among the computed polymorphs: 0.343 eV per atom
* theoretical density: 4.508 g/cm3
* ΔE_f (raw): -0.0381 eV/atom

Unit cell a=5.209 b=5.209 c=5.209 alpha=90.00 beta=90.00 gamma=90.00
Fractional coordinates of all 5 atoms:
K 0.500 0.500 0.500
Se 0.000 0.500 0.000
Se 0.000 0.000 0.500
Se 0.500 0.000 0.000
Ag 0.000 0.000 0.000

Entry 4:
Material: K2AgSe
Method: DFT, GGA-PBE
State: optimized geometry

Computed properties:
* relative energy among the computed polymorphs: 0.083 eV per atom
* theoretical density: 3.547 g/cm3
* ΔE_f (raw): -0.4274 eV/atom

Unit cell a=4.368 b=3.256 c=9.317 alpha=69.47 beta=90.00 gamma=90.00
Fractional coordinates of all 4 atoms:
Ag 0.500 0.750 0.750
K 0.000 0.965 0.036
K 0.000 0.535 0.464
Se 0.500 0.250 0.250

no.,total magnetization (μB per cell)
1,0.42
2,0.00
3,0.00
4,0.00